Entry 1:
Here is MgZn2Ge after structural relaxation from the Open Quantum Materials Database. Energies are from PBE.

Structure (POSCAR):
```
MgZn2Ge
1.0
-1.4989 2.7829 3.4017
1.4288 4.4143 0.1876
-2.9661 3.4430 -0.9543
Ge Mg Zn
1 1 2
Cartesian
-1.5181 5.3201 1.3175
-0.7590 2.6601 0.6587
0.0000 0.0000 0.0000
-2.2771 7.9802 1.9762
```

## Properties
* E_tot: -2.113 eV per atom
* crystal system: cubic

***

Entry 2:
Here is PrCuSnTeSe2 after structural relaxation from the Open Quantum Materials Database. Energies are from PBE.

Structure (POSCAR):
```
PrCuSnTeSe2
1.0
2.0851 -6.9634 0.0000
2.0851 6.9634 0.0000
0.0000 0.0000 11.4875
Pr Se Sn Cu Te
2 4 2 2 2
Cartesian
2.0851 0.0000 0.0000
2.0851 0.0000 5.7438
2.0851 -5.0327 0.9059
2.0851 5.0327 6.6497
2.0851 5.0327 10.5816
2.0851 -5.0327 4.8379
2.0851 3.0064 2.8719
2.0851 -3.0064 8.6156
2.0851 -6.5690 2.8719
2.0851 6.5690 8.6156
2.0851 -1.3399 2.8719
2.0851 1.3399 8.6156
```

## Properties
* E_tot: -4.615 eV per atom
* crystal system: orthorhombic

***

Entry 3:
Here is HoBr2 after structural relaxation from the Open Quantum Materials Database. Energies are from PBE.

Structure (POSCAR):
```
HoBr2
1.0
0.0000 3.4683 3.4683
3.4683 0.0000 3.4683
3.4683 3.4683 0.0000
Br Ho
2 1
Cartesian
5.2024 5.2024 5.2024
1.7341 1.7341 1.7341
0.0000 0.0000 0.0000
```

## Properties
* E_tot: -3.921 eV per atom
* crystal system: cubic